Arrangement i

Density functional theory data (GGA-PBE) for a geometry-optimized Li2PdAu structure.

Lattice parameters (Å, degrees): 2.858 2.858 6.992 90.00 90.00 90.00
Element x y z (fractional)
Au 0.000 0.000 0.000
Li 0.500 0.500 0.739
Li 0.500 0.500 0.261
Pd 0.000 0.000 0.500

Arrangement ii

Density functional theory data (GGA-PBE) for a geometry-optimized Li2PdAu structure.

Lattice parameters (Å, degrees): 4.431 4.431 4.431 60.00 60.00 60.00
Element x y z (fractional)
Au 0.500 0.500 0.500
Li 0.000 0.000 0.000
Li 0.250 0.250 0.250
Pd 0.750 0.750 0.750

Relative energies, eV/atom: arrangement i 0.000; arrangement ii 0.017.

Arrangement i

Density functional theory data (GGA-PBE) for a geometry-optimized Cu5Ag4 structure.

Lattice parameters (Å, degrees): 7.027 7.027 6.801 98.38 98.38 23.32
Element x y z (fractional)
Cu 0.900 0.900 0.878
Ag 0.785 0.785 0.175
Cu 0.457 0.457 0.185
Cu 0.543 0.543 0.815
Ag 0.656 0.656 0.460
Cu 0.000 0.000 0.500
Cu 0.100 0.100 0.122
Ag 0.344 0.344 0.540
Ag 0.215 0.215 0.825

Arrangement ii

Density functional theory data (GGA-PBE) for a geometry-optimized Cu5Ag4 structure.

Lattice parameters (Å, degrees): 6.014 6.014 8.363 103.89 103.89 26.57
Element x y z (fractional)
Cu 0.656 0.656 0.880
Cu 0.004 0.004 0.982
Cu 0.344 0.344 0.779
Ag 0.334 0.334 0.087
Ag 0.992 0.992 0.343
Cu 0.336 0.336 0.464
Ag 0.672 0.672 0.572
Cu 0.995 0.995 0.673
Ag 0.667 0.667 0.220

Relative energies, eV/atom: arrangement i 0.000; arrangement ii 0.006.